1.
First-principles (GGA-PBEsol) data for an optimized crystal structure of KLa2IrPd, as listed in Alexandria via LeMat-Bulk.

a b c (Å): 5.4224 5.4224 5.2798
angles (deg): 90.00 90.00 90.00
Space group P4/mmm (No. 123)
Inequivalent atoms, fractional coordinates:
K (0.0000, 0.0000, 0.0000) (multiplicity 1)
La (0.0000, 0.5000, 0.5000) (multiplicity 2)
Ir (0.5000, 0.5000, 0.5000) (multiplicity 1)
Pd (0.5000, 0.5000, 0.0000) (multiplicity 1)

Results
**Size of the total moment**: 0.0 Bohr magnetons per cell
**Formation energy**: -0.028 eV/atom

2.
First-principles (GGA-PBEsol) data for an optimized crystal structure of KLiIr3, as listed in Alexandria via LeMat-Bulk.

a b c (Å): 4.6613 4.6613 4.6613
angles (deg): 90.00 90.00 90.00
Space group Pm-3m (No. 221)
Inequivalent atoms, fractional coordinates:
K (0.0000, 0.0000, 0.0000) (multiplicity 1)
Li (0.5000, 0.5000, 0.5000) (multiplicity 1)
Ir (0.0000, 0.0000, 0.5000) (multiplicity 3)

Results
**Size of the total moment**: 0.0 Bohr magnetons per cell
**Formation energy**: 3.011 eV/atom

3.
First-principles (GGA-PBEsol) data for an optimized crystal structure of KLiIr2, as listed in Alexandria via LeMat-Bulk.

a b c (Å): 2.6169 2.6169 9.4607
angles (deg): 90.00 90.00 90.00
Space group P4/mmm (No. 123)
Inequivalent atoms, fractional coordinates:
K (0.0000, 0.0000, 0.0000) (multiplicity 1)
Li (0.0000, 0.0000, 0.5000) (multiplicity 1)
Ir (0.5000, 0.5000, 0.2865) (multiplicity 2)

Results
**Energy above the lowest structure with this stoichiometry**: 0.028 eV per atom
**Size of the total moment**: 0.0 Bohr magnetons per cell
**Formation energy**: 0.521 eV/atom

no.,uncorrected energy (eV per atom)
1,-5.55
2,-3.50
3,-5.17